Material: NaLi2UO4
Method: DFT, GGA-PBE
State: relaxed

Lattice parameters (Å, degrees): 3.5085 5.8754 6.6284 54.66 74.65 72.63
With the nearest neighbours (Å) after each atom.
Sites, in units of the cell vectors:
Na 0.5000 0.5000 0.5000  6 O 2.38-2.54
Li 0.7244 0.8624 0.6887  4 O 1.97-2.16
Li 0.2756 0.1376 0.3113  4 O 1.97-2.16
U 0.0000 0.0000 0.0000  6 O 2.09-2.21
O 0.1267 0.1173 0.6293  3 Li 1.97-2.16, 1 U 2.09
O 0.3945 0.2693 0.9417  1 Li 2.06, 2 U 2.21
O 0.8733 0.8827 0.3707  3 Li 1.97-2.16, 1 U 2.09
O 0.6055 0.7307 0.0583  1 Li 2.06, 2 U 2.21

## Properties
- final energy (eV/atom) = -7.02
- space-group type = C2/m (12)
- ΔE_f (raw) (eV per formula unit) = -19.90